Entry from the Alexandria database: a geometry-optimized KZr3Sb structure (PBE).

Output
ΔE to the lowest computed polymorph	0	meV per atom

abc: 5.485 5.485 5.485
angles: 90.00 90.00 90.00
Fractional coordinates of all 5 atoms:
K (0.000, 0.000, 0.000)
Zr (0.000, 0.500, 0.500)
Zr (0.500, 0.000, 0.500)
Zr (0.500, 0.500, 0.000)
Sb (0.500, 0.500, 0.500)

***

Entry from the Alexandria database: a geometry-optimized KZrSb3 structure (PBE).

Output
ΔE to the lowest computed polymorph	1607	meV per atom

abc: 5.529 5.529 5.529
angles: 90.00 90.00 90.00
Fractional coordinates of all 5 atoms:
K (0.000, 0.000, 0.000)
Zr (0.500, 0.500, 0.500)
Sb (0.000, 0.000, 0.500)
Sb (0.000, 0.500, 0.000)
Sb (0.500, 0.000, 0.000)

***

Entry from the Alexandria database: a geometry-optimized KZr2Sb2 structure (PBE).

Output
ΔE to the lowest computed polymorph	126	meV per atom

abc: 8.586 8.586 3.560
angles: 90.00 90.00 90.00
Fractional coordinates of all 10 atoms:
K (0.000, 0.000, 0.000)
K (0.500, 0.500, 0.000)
Zr (0.122, 0.378, 0.000)
Zr (0.378, 0.878, 0.000)
Zr (0.622, 0.122, 0.000)
Zr (0.878, 0.622, 0.000)
Sb (0.163, 0.663, 0.500)
Sb (0.337, 0.163, 0.500)
Sb (0.663, 0.837, 0.500)
Sb (0.837, 0.337, 0.500)

***

Entry from the Alexandria database: a geometry-optimized KZr2Sb2 structure (PBE).

Output
ΔE to the lowest computed polymorph	345	meV per atom

abc: 6.404 6.404 6.404
angles: 128.48 128.48 75.85
Fractional coordinates of all 5 atoms:
K (0.000, 0.000, 0.000)
Zr (0.342, 0.342, 0.000)
Zr (0.658, 0.658, 0.000)
Sb (0.250, 0.750, 0.500)
Sb (0.750, 0.250, 0.500)

***

Entry from the Alexandria database: a geometry-optimized K3Sc structure (PBE).

Output
ΔE to the lowest computed polymorph	67	meV per atom
E_form	0.53	eV/atom

abc: 7.984 7.984 7.984
angles: 117.60 117.60 117.60
Fractional coordinates of all 4 atoms:
K (0.000, 0.500, 0.500)
K (0.500, 0.000, 0.500)
K (0.500, 0.500, 0.000)
Sc (0.000, 0.000, 0.000)

***

Entry from the Alexandria database: a geometry-optimized K2Sc structure (PBE).

Output
ΔE to the lowest computed polymorph	0	meV per atom
E_form	0.47	eV/atom

abc: 7.459 7.459 12.244
angles: 112.85 112.85 28.48
Fractional coordinates of all 6 atoms:
K (0.010, 0.010, 0.192)
K (0.337, 0.337, 0.396)
K (0.663, 0.663, 0.604)
K (0.990, 0.990, 0.808)
Sc (0.288, 0.288, 0.927)
Sc (0.712, 0.712, 0.073)

***

Entry from the Alexandria database: a geometry-optimized KSc structure (PBE).

Output
E_form	0.69	eV/atom

abc: 3.424 3.424 13.833
angles: 90.00 90.00 120.00
Fractional coordinates of all 4 atoms:
K (0.333, 0.667, 0.000)
K (0.667, 0.333, 0.500)
Sc (0.333, 0.667, 0.252)
Sc (0.667, 0.333, 0.752)

***

Entry from the Alexandria database: a geometry-optimized K3Sc structure (PBE).

Output
ΔE to the lowest computed polymorph	59	meV per atom
E_form	0.52	eV/atom

abc: 3.718 6.527 8.446
angles: 90.00 90.00 90.00
Fractional coordinates of all 4 atoms:
K (0.000, 0.000, 0.000)
K (0.500, 0.500, 0.275)
K (0.500, 0.500, 0.725)
Sc (0.000, 0.000, 0.500)